No. 1
The following is a PBE calculation of an optimized crystal structure of TlCuTe2WS, from the Open Quantum Materials Database.

Structure (POSCAR):
```
TlCuTe2WS
1.0
1.844 -8.008 0.000
1.844 8.008 0.000
0.000 0.000 9.552
Tl Cu Te W S
2 2 4 2 2
Direct
0.231 0.769 0.750
0.769 0.231 0.250
0.024 0.976 0.250
0.976 0.024 0.750
0.128 0.872 0.046
0.128 0.872 0.454
0.872 0.128 0.546
0.872 0.128 0.954
0.500 0.500 0.000
0.500 0.500 0.500
0.443 0.557 0.250
0.557 0.443 0.750
```

No. 2
The following is a PBE calculation of an optimized crystal structure of ZrTlCuTeS2, from the Open Quantum Materials Database.

Structure (POSCAR):
```
ZrTlCuTeS2
1.0
1.906 -7.762 0.000
1.906 7.762 0.000
0.000 0.000 10.381
Zr Tl Cu Te S
2 2 2 2 4
Direct
0.000 0.000 0.000
0.000 0.000 0.500
0.219 0.781 0.750
0.781 0.219 0.250
0.474 0.526 0.250
0.526 0.474 0.750
0.091 0.909 0.250
0.909 0.091 0.750
0.394 0.606 0.065
0.394 0.606 0.435
0.606 0.394 0.565
0.606 0.394 0.935
```

No. 3
The following is a PBE calculation of an optimized crystal structure of ZrTlCuTe2S, from the Open Quantum Materials Database.

Structure (POSCAR):
```
ZrTlCuTe2S
1.0
1.974 -7.733 0.000
1.974 7.733 0.000
0.000 0.000 10.134
Zr Tl Cu Te S
2 2 2 4 2
Direct
0.000 0.000 0.000
0.000 0.000 0.500
0.271 0.729 0.750
0.729 0.271 0.250
0.472 0.528 0.250
0.528 0.472 0.750
0.364 0.636 0.051
0.364 0.636 0.449
0.636 0.364 0.551
0.636 0.364 0.949
0.052 0.948 0.250
0.948 0.052 0.750
```

No. 4
The following is a PBE calculation of an optimized crystal structure of ZrCu2TeS2, from the Open Quantum Materials Database.

ΔE to the lowest computed polymorph in kcal/mol of atoms: 0.00

Structure (POSCAR):
```
ZrCu2TeS2
1.0
9.777 -1.956 0.000
9.777 1.956 0.000
-1.431 0.000 7.161
Zr Cu Te S
2 4 2 4
Direct
0.137 0.137 0.041
0.863 0.863 0.959
0.208 0.208 0.425
0.454 0.454 0.833
0.546 0.546 0.167
0.792 0.792 0.575
0.249 0.249 0.783
0.751 0.751 0.217
0.088 0.088 0.324
0.424 0.424 0.140
0.576 0.576 0.860
0.912 0.912 0.676
```

No. 5
The following is a PBE calculation of an optimized crystal structure of ZrCu2Te2S, from the Open Quantum Materials Database.

ΔE to the lowest computed polymorph in kcal/mol of atoms: 0.64

Structure (POSCAR):
```
ZrCu2Te2S
1.0
10.297 -1.981 0.000
10.297 1.981 0.000
-1.569 0.000 7.123
Zr Cu Te S
2 4 4 2
Direct
0.144 0.144 0.037
0.856 0.856 0.963
0.211 0.211 0.422
0.446 0.446 0.848
0.554 0.554 0.152
0.789 0.789 0.578
0.248 0.248 0.783
0.430 0.430 0.204
0.570 0.570 0.796
0.752 0.752 0.217
0.096 0.096 0.313
0.904 0.904 0.687
```

No. 6
The following is a PBE calculation of an optimized crystal structure of ZrCu2TeS2, from the Open Quantum Materials Database.

ΔE to the lowest computed polymorph in kcal/mol of atoms: 0.92

Structure (POSCAR):
```
ZrCu2TeS2
1.0
9.728 -1.920 0.000
9.728 1.920 0.000
-1.098 0.000 6.785
Zr Cu Te S
2 4 2 4
Direct
0.159 0.159 0.050
0.841 0.841 0.950
0.204 0.204 0.475
0.447 0.447 0.846
0.553 0.553 0.154
0.796 0.796 0.525
0.421 0.421 0.210
0.579 0.579 0.790
0.093 0.093 0.327
0.254 0.254 0.788
0.746 0.746 0.212
0.907 0.907 0.673
```

no.,E (eV per atom)
1,-4.921
2,-5.164
3,-4.874
4,-5.319
5,-5.018
6,-5.279